1.
VASP calculation (PBE) on crystalline PaTiBi2 at its relaxed geometry.

Output
Final energy (eV/atom): -5.9827
DOS(E_F) (states/eV/atom): 1.425
V (Å³ per atom): 27.2
DFT formation energy (meV/atom): 306
Distance to the lowest polymorph of the same formula (eV per formula unit): 1.38

```
data_PaTiBi2
_cell_length_a 11.548
_cell_length_b 11.548
_cell_length_c 11.548
_cell_angle_alpha 16.54
_cell_angle_beta 16.54
_cell_angle_gamma 16.54
_symmetry_space_group_name_H-M 'P 1'
_symmetry_Int_Tables_number 1
loop_
_symmetry_equiv_pos_as_xyz
'x,y,z'
loop_
_atom_site_label
_atom_site_type_symbol
_atom_site_fract_x
_atom_site_fract_y
_atom_site_fract_z
Pa1 Pa 0.000 0.000 0.000
Ti1 Ti 0.500 0.500 0.500
Bi1 Bi 0.415 0.415 0.415
Bi2 Bi 0.585 0.585 0.585
```

=====

2.
VASP calculation (PBE) on crystalline TlTcP4 at its relaxed geometry.

Output
Final energy (eV/atom): -4.8605
DOS(E_F) (states/eV/atom): 0.542
V (Å³ per atom): 18.2
DFT formation energy (meV/atom): 868

```
data_TlTcP4
_cell_length_a 5.362
_cell_length_b 5.362
_cell_length_c 5.362
_cell_angle_alpha 60.00
_cell_angle_beta 60.00
_cell_angle_gamma 60.00
_symmetry_space_group_name_H-M 'P 1'
_symmetry_Int_Tables_number 1
loop_
_symmetry_equiv_pos_as_xyz
'x,y,z'
loop_
_atom_site_label
_atom_site_type_symbol
_atom_site_fract_x
_atom_site_fract_y
_atom_site_fract_z
Tl1 Tl 0.000 0.000 0.000
Tc1 Tc 0.250 0.250 0.250
P1 P 0.172 0.609 0.609
P2 P 0.609 0.172 0.609
P3 P 0.609 0.609 0.172
P4 P 0.609 0.609 0.609
```

=====

- What is the final energy in the first record?
  -5.9827 eV/atom